No. 1
## Tb2TeRu (PBE)

Data for Tb2TeRu after structural relaxation.

Cell and atoms, written as POSCAR:
```
Tb2TeRu
1.0
3.5790 0.0000 0.0000
0.0000 3.5790 0.0000
0.0000 0.0000 7.4765
Tb Te Ru
2 1 1
Direct
0.0000 0.0000 0.2219
0.0000 0.0000 0.7781
0.5000 0.5000 0.5000
0.5000 0.5000 0.0000
```

**Energy above the most stable polymorph in this dataset**: 0 meV/atom
**Calculated density**: 9476 kg/m³
**Space-group type**: P4/mmm
**Formation energy from raw total energies**: -0.712 eV per atom

No. 2
## Tb5Te2Ru (PBE)

Data for Tb5Te2Ru after structural relaxation.

Cell and atoms, written as POSCAR:
```
Tb5Te2Ru
1.0
8.1944 0.0000 0.0000
0.0000 12.8867 0.0000
0.0000 0.0000 4.2144
Tb Te Ru
10 4 2
Direct
0.0000 0.0000 0.0000
0.1574 0.3141 0.0000
0.1739 0.5785 0.5000
0.3261 0.0785 0.5000
0.3426 0.8141 0.0000
0.5000 0.5000 0.0000
0.6574 0.1859 0.0000
0.6739 0.9215 0.5000
0.8261 0.4215 0.5000
0.8426 0.6859 0.0000
0.0468 0.8217 0.5000
0.4532 0.3217 0.5000
0.5468 0.6783 0.5000
0.9532 0.1783 0.5000
0.0000 0.5000 0.0000
0.5000 0.0000 0.0000
```

**Energy above the most stable polymorph in this dataset**: 0 meV/atom
**Calculated density**: 8588 kg/m³
**Space-group type**: Pbam
**Formation energy from raw total energies**: -0.790 eV per atom